Pa2Ge2Os2C | PBE | optimized geometry

Energy of formation from the pure elements (eV/atom): -0.405
Fermi-level density of states (states/eV per atom): 0.5103
SG: C2/m (12)
Crystal system: monoclinic

CIF file:
```
data_Pa2Ge2Os2C
_space_group_name_H-M_alt 'P 1'
_space_group_IT_number 1
_cell_length_a 4.116
_cell_length_b 5.958
_cell_length_c 5.909
_cell_angle_alpha 72.23
_cell_angle_beta 69.62
_cell_angle_gamma 69.79
loop_
_space_group_symop_operation_xyz
'x,y,z'
loop_
_atom_site_label
_atom_site_fract_x
_atom_site_fract_y
_atom_site_fract_z
Os1 0.198 0.688 0.916
Os2 0.802 0.312 0.084
Pa1 0.553 0.182 0.713
Pa2 0.447 0.818 0.287
Ge1 0.842 0.640 0.677
Ge2 0.158 0.360 0.323
C1 0.000 0.000 0.000
```


Pm2Ge2Os2C | PBE | optimized geometry

Energy of formation from the pure elements (eV/atom): -0.576
Fermi-level density of states (states/eV per atom): 0.4081
SG: C2/m (12)
Crystal system: monoclinic

CIF file:
```
data_Pm2Ge2Os2C
_space_group_name_H-M_alt 'P 1'
_space_group_IT_number 1
_cell_length_a 4.204
_cell_length_b 5.985
_cell_length_c 6.062
_cell_angle_alpha 71.60
_cell_angle_beta 69.71
_cell_angle_gamma 69.44
loop_
_space_group_symop_operation_xyz
'x,y,z'
loop_
_atom_site_label
_atom_site_fract_x
_atom_site_fract_y
_atom_site_fract_z
Ge1 0.841 0.617 0.702
Ge2 0.159 0.383 0.298
Os1 0.800 0.304 0.096
Os2 0.200 0.696 0.904
C1 0.000 0.000 0.000
Pm1 0.561 0.173 0.705
Pm2 0.439 0.827 0.295
```


Ge2OsPtC | PBE | optimized geometry

Energy of formation from the pure elements (eV/atom): 0.771
Fermi-level density of states (states/eV per atom): 0.7000
SG: P4/mmm (123)
Crystal system: tetragonal

CIF file:
```
data_Ge2OsPtC
_space_group_name_H-M_alt 'P 1'
_space_group_IT_number 1
_cell_length_a 4.362
_cell_length_b 3.913
_cell_length_c 4.362
_cell_angle_alpha 90.00
_cell_angle_beta 90.00
_cell_angle_gamma 90.00
loop_
_space_group_symop_operation_xyz
'x,y,z'
loop_
_atom_site_label
_atom_site_fract_x
_atom_site_fract_y
_atom_site_fract_z
Pt1 0.500 0.500 0.500
Ge1 0.000 0.000 0.500
Ge2 0.500 0.000 0.000
Os1 0.000 0.500 0.000
C1 0.000 0.000 0.000
```


GeSbOs2C | PBE | optimized geometry

Fermi-level density of states (states/eV per atom): 1.2391
SG: P4/mmm (123)
Formation energy from raw total energies (meV/atom): 2886
Crystal system: tetragonal

CIF file:
```
data_GeSbOs2C
_space_group_name_H-M_alt 'P 1'
_space_group_IT_number 1
_cell_length_a 4.561
_cell_length_b 5.122
_cell_length_c 4.561
_cell_angle_alpha 90.00
_cell_angle_beta 90.00
_cell_angle_gamma 90.00
loop_
_space_group_symop_operation_xyz
'x,y,z'
loop_
_atom_site_label
_atom_site_fract_x
_atom_site_fract_y
_atom_site_fract_z
Ge1 0.000 0.000 0.000
C1 0.500 0.500 0.500
Os1 0.500 0.000 0.000
Os2 0.000 0.000 0.500
Sb1 0.000 0.500 0.000
```


GeSbOsC2 | PBE | optimized geometry

Fermi-level density of states (states/eV per atom): 0.9486
SG: P4/mmm (123)
Formation energy from raw total energies (meV/atom): 2959
Crystal system: tetragonal

CIF file:
```
data_GeSbOsC2
_space_group_name_H-M_alt 'P 1'
_space_group_IT_number 1
_cell_length_a 4.120
_cell_length_b 5.436
_cell_length_c 4.120
_cell_angle_alpha 90.00
_cell_angle_beta 90.00
_cell_angle_gamma 90.00
loop_
_space_group_symop_operation_xyz
'x,y,z'
loop_
_atom_site_label
_atom_site_fract_x
_atom_site_fract_y
_atom_site_fract_z
Sb1 0.000 0.000 0.000
C1 0.000 0.000 0.500
C2 0.500 0.000 0.000
Os1 0.500 0.500 0.500
Ge1 0.000 0.500 0.000
```


Sr2Ge2Os2C | PBE | optimized geometry

Energy of formation from the pure elements (eV/atom): -0.350
Fermi-level density of states (states/eV per atom): 0.3971
SG: C2/m (12)
Crystal system: monoclinic

CIF file:
```
data_Sr2Ge2Os2C
_space_group_name_H-M_alt 'P 1'
_space_group_IT_number 1
_cell_length_a 4.256
_cell_length_b 6.130
_cell_length_c 6.398
_cell_angle_alpha 73.54
_cell_angle_beta 70.57
_cell_angle_gamma 69.69
loop_
_space_group_symop_operation_xyz
'x,y,z'
loop_
_atom_site_label
_atom_site_fract_x
_atom_site_fract_y
_atom_site_fract_z
Sr1 0.564 0.176 0.696
Sr2 0.436 0.824 0.304
Ge1 0.177 0.380 0.266
Ge2 0.823 0.620 0.734
Os1 0.809 0.302 0.080
Os2 0.191 0.698 0.920
C1 0.000 0.000 0.000
```


Tb3Ge2OsC | PBE | optimized geometry

Energy of formation from the pure elements (eV/atom): -0.493
Fermi-level density of states (states/eV per atom): 0.5359
SG: Immm (71)
Crystal system: orthorhombic

CIF file:
```
data_Tb3Ge2OsC
_space_group_name_H-M_alt 'P 1'
_space_group_IT_number 1
_cell_length_a 3.950
_cell_length_b 4.764
_cell_length_c 8.404
_cell_angle_alpha 106.47
_cell_angle_beta 103.59
_cell_angle_gamma 90.00
loop_
_space_group_symop_operation_xyz
'x,y,z'
loop_
_atom_site_label
_atom_site_fract_x
_atom_site_fract_y
_atom_site_fract_z
C1 0.000 0.000 0.000
Ge1 0.352 0.352 0.705
Ge2 0.648 0.648 0.295
Tb1 0.000 0.500 0.000
Tb2 0.163 0.163 0.327
Tb3 0.837 0.837 0.673
Os1 0.500 0.000 0.000
```


TcGeOs2C | PBE | optimized geometry

Energy of formation from the pure elements (eV/atom): 0.826
Fermi-level density of states (states/eV per atom): 0.8195
SG: P4/mmm (123)
Crystal system: tetragonal

CIF file:
```
data_TcGeOs2C
_space_group_name_H-M_alt 'P 1'
_space_group_IT_number 1
_cell_length_a 3.945
_cell_length_b 4.499
_cell_length_c 3.945
_cell_angle_alpha 90.00
_cell_angle_beta 90.00
_cell_angle_gamma 90.00
loop_
_space_group_symop_operation_xyz
'x,y,z'
loop_
_atom_site_label
_atom_site_fract_x
_atom_site_fract_y
_atom_site_fract_z
Os1 0.000 0.000 0.500
Os2 0.500 0.000 0.000
Ge1 0.000 0.500 0.000
C1 0.000 0.000 0.000
Tc1 0.500 0.500 0.500
```


Ge2OsWC | PBE | optimized geometry

Energy of formation from the pure elements (eV/atom): 2.232
Fermi-level density of states (states/eV per atom): 1.2740
SG: P4/mmm (123)
Crystal system: tetragonal

CIF file:
```
data_Ge2OsWC
_space_group_name_H-M_alt 'P 1'
_space_group_IT_number 1
_cell_length_a 4.626
_cell_length_b 4.908
_cell_length_c 4.626
_cell_angle_alpha 90.00
_cell_angle_beta 90.00
_cell_angle_gamma 90.00
loop_
_space_group_symop_operation_xyz
'x,y,z'
loop_
_atom_site_label
_atom_site_fract_x
_atom_site_fract_y
_atom_site_fract_z
Ge1 0.000 0.000 0.500
Ge2 0.500 0.000 0.000
C1 0.500 0.500 0.500
Os1 0.000 0.000 0.000
W1 0.000 0.500 0.000
```


GePC2 | PBE | optimized geometry

Energy of formation from the pure elements (eV/atom): 2.280
Fermi-level density of states (states/eV per atom): 0.5959
SG: Fm-3m (225)
Offset from the most stable computed form (meV/atom): 1564
Crystal system: cubic

CIF file:
```
data_GePC2
_space_group_name_H-M_alt 'P 1'
_space_group_IT_number 1
_cell_length_a 3.927
_cell_length_b 3.927
_cell_length_c 3.927
_cell_angle_alpha 60.00
_cell_angle_beta 60.00
_cell_angle_gamma 60.00
loop_
_space_group_symop_operation_xyz
'x,y,z'
loop_
_atom_site_label
_atom_site_fract_x
_atom_site_fract_y
_atom_site_fract_z
P1 0.000 0.000 0.000
Ge1 0.500 0.500 0.500
C1 0.750 0.750 0.750
C2 0.250 0.250 0.250
```


GePC3 | PBE | optimized geometry

Energy of formation from the pure elements (eV/atom): 2.035
Fermi-level density of states (states/eV per atom): 0.4694
SG: Pm-3m (221)
Offset from the most stable computed form (meV/atom): 0
Crystal system: cubic

CIF file:
```
data_GePC3
_space_group_name_H-M_alt 'P 1'
_space_group_IT_number 1
_cell_length_a 3.697
_cell_length_b 3.697
_cell_length_c 3.697
_cell_angle_alpha 90.00
_cell_angle_beta 90.00
_cell_angle_gamma 90.00
loop_
_space_group_symop_operation_xyz
'x,y,z'
loop_
_atom_site_label
_atom_site_fract_x
_atom_site_fract_y
_atom_site_fract_z
C1 0.000 0.000 0.500
C2 0.500 0.000 0.000
C3 0.000 0.500 0.000
Ge1 0.500 0.500 0.500
P1 0.000 0.000 0.000
```


GeP2C | PBE | optimized geometry

Energy of formation from the pure elements (eV/atom): 1.627
Fermi-level density of states (states/eV per atom): 0.4258
SG: Fm-3m (225)
Offset from the most stable computed form (meV/atom): 1025
Crystal system: cubic

CIF file:
```
data_GeP2C
_space_group_name_H-M_alt 'P 1'
_space_group_IT_number 1
_cell_length_a 4.248
_cell_length_b 4.248
_cell_length_c 4.248
_cell_angle_alpha 60.00
_cell_angle_beta 60.00
_cell_angle_gamma 60.00
loop_
_space_group_symop_operation_xyz
'x,y,z'
loop_
_atom_site_label
_atom_site_fract_x
_atom_site_fract_y
_atom_site_fract_z
Ge1 0.500 0.500 0.500
C1 0.000 0.000 0.000
P1 0.250 0.250 0.250
P2 0.750 0.750 0.750
```